# 1
CoH10C4N4O8: optimized geometry, PBE with a Hubbard U.

a b c (Å): 10.022 8.348 12.385
angles (deg): 90.00 90.00 90.00
Positions (direct):
1 Co 0.053 0.217 0.000
2 Co 0.447 0.717 0.500
3 Co 0.553 0.283 0.000
4 Co 0.947 0.783 0.500
5 H 0.006 0.795 0.142
6 H 0.021 0.716 0.710
7 H 0.034 0.558 0.642
8 H 0.075 0.379 0.383
9 H 0.104 0.981 0.848
10 H 0.107 0.061 0.502
11 H 0.119 0.672 0.350
12 H 0.125 0.963 0.616
13 H 0.158 0.148 0.802
14 H 0.162 0.602 0.472
15 H 0.338 0.102 0.972
16 H 0.342 0.648 0.302
17 H 0.375 0.463 0.116
18 H 0.381 0.172 0.850
19 H 0.393 0.561 0.002
20 H 0.396 0.481 0.348
21 H 0.425 0.879 0.883
22 H 0.466 0.058 0.142
23 H 0.479 0.216 0.210
24 H 0.494 0.295 0.642
25 H 0.506 0.705 0.142
26 H 0.521 0.784 0.710
27 H 0.534 0.942 0.642
28 H 0.575 0.121 0.383
29 H 0.604 0.519 0.848
30 H 0.607 0.439 0.502
31 H 0.619 0.828 0.350
32 H 0.625 0.537 0.616
33 H 0.658 0.352 0.802
34 H 0.662 0.898 0.472
35 H 0.838 0.398 0.972
36 H 0.842 0.852 0.302
37 H 0.875 0.037 0.116
38 H 0.881 0.328 0.850
39 H 0.893 0.939 0.002
40 H 0.896 0.019 0.348
41 H 0.925 0.621 0.883
42 H 0.966 0.442 0.142
43 H 0.979 0.284 0.210
44 H 0.994 0.205 0.642
45 C 0.115 0.528 0.913
46 C 0.166 0.952 0.115
47 C 0.181 0.690 0.882
48 C 0.232 0.337 0.668
49 C 0.268 0.837 0.168
50 C 0.319 0.190 0.382
51 C 0.334 0.452 0.615
52 C 0.385 0.028 0.413
53 C 0.615 0.972 0.913
54 C 0.666 0.548 0.115
55 C 0.681 0.810 0.882
56 C 0.732 0.163 0.668
57 C 0.768 0.663 0.168
58 C 0.819 0.310 0.382
59 C 0.834 0.048 0.615
60 C 0.885 0.472 0.413
61 N 0.017 0.479 0.399
62 N 0.039 0.903 0.110
63 N 0.055 0.995 0.560
64 N 0.083 0.625 0.421
65 N 0.417 0.125 0.921
66 N 0.445 0.495 0.060
67 N 0.461 0.403 0.610
68 N 0.483 0.979 0.899
69 N 0.517 0.021 0.399
70 N 0.539 0.597 0.110
71 N 0.555 0.505 0.560
72 N 0.583 0.875 0.421
73 N 0.917 0.375 0.921
74 N 0.945 0.005 0.060
75 N 0.961 0.097 0.610
76 N 0.983 0.521 0.899
77 O 0.014 0.338 0.145
78 O 0.094 0.100 0.855
79 O 0.108 0.785 0.827
80 O 0.111 0.374 0.657
81 O 0.182 0.412 0.948
82 O 0.203 0.214 0.416
83 O 0.204 0.084 0.077
84 O 0.222 0.716 0.217
85 O 0.278 0.216 0.717
86 O 0.296 0.584 0.577
87 O 0.297 0.714 0.916
88 O 0.318 0.912 0.448
89 O 0.389 0.874 0.157
90 O 0.392 0.285 0.327
91 O 0.406 0.600 0.355
92 O 0.486 0.838 0.645
93 O 0.514 0.162 0.145
94 O 0.594 0.400 0.855
95 O 0.608 0.715 0.827
96 O 0.611 0.126 0.657
97 O 0.682 0.088 0.948
98 O 0.703 0.286 0.416
99 O 0.704 0.416 0.077
100 O 0.722 0.784 0.217
101 O 0.778 0.284 0.717
102 O 0.796 0.916 0.577
103 O 0.797 0.786 0.916
104 O 0.818 0.588 0.448
105 O 0.889 0.626 0.157
106 O 0.892 0.215 0.327
107 O 0.906 0.900 0.355
108 O 0.986 0.662 0.645

Properties
SG: Pna2_1, No. 33
Magnetization, μB/cell: 11.67
E, eV/atom: -6.217

# 2
CoH12PdC4N4O12: optimized geometry, PBE with a Hubbard U.

a b c (Å): 8.860 8.860 6.336
angles (deg): 107.26 107.26 117.37
Positions (direct):
1 Co 0.000 0.000 0.000
2 H 0.263 0.577 0.783
3 H 0.281 0.449 0.556
4 H 0.313 0.532 0.233
5 H 0.423 0.737 0.217
6 H 0.449 0.281 0.556
7 H 0.468 0.687 0.767
8 H 0.532 0.313 0.233
9 H 0.551 0.719 0.444
10 H 0.577 0.263 0.783
11 H 0.687 0.468 0.767
12 H 0.719 0.551 0.444
13 H 0.737 0.423 0.217
14 Pd 0.500 0.500 0.000
15 C 0.071 0.726 0.898
16 C 0.274 0.929 0.102
17 C 0.726 0.071 0.898
18 C 0.929 0.274 0.102
19 N 0.361 0.558 0.746
20 N 0.442 0.639 0.254
21 N 0.558 0.361 0.746
22 N 0.639 0.442 0.254
23 O 0.055 0.055 0.699
24 O 0.056 0.572 0.809
25 O 0.074 0.926 0.500
26 O 0.078 0.265 0.166
27 O 0.265 0.078 0.166
28 O 0.428 0.944 0.191
29 O 0.572 0.056 0.809
30 O 0.735 0.922 0.834
31 O 0.922 0.735 0.834
32 O 0.926 0.074 0.500
33 O 0.944 0.428 0.191
34 O 0.945 0.945 0.301

Properties
SG: C2/m, No. 12
Magnetization, μB/cell: 0.93
E, eV/atom: -5.824

# 3
CoH20PtC4N4O12: optimized geometry, PBE with a Hubbard U.

a b c (Å): 9.133 9.133 9.133
angles (deg): 133.54 133.43 67.89
Positions (direct):
1 Co 0.000 0.000 0.000
2 H 0.116 0.526 0.815
3 H 0.119 0.287 0.601
4 H 0.196 0.368 0.877
5 H 0.288 0.474 0.590
6 H 0.297 0.948 0.353
7 H 0.309 0.705 0.384
8 H 0.313 0.713 0.831
9 H 0.322 0.925 0.616
10 H 0.406 0.052 0.349
11 H 0.491 0.319 0.123
12 H 0.509 0.632 0.828
13 H 0.594 0.944 0.647
14 H 0.678 0.295 0.604
15 H 0.687 0.518 0.399
16 H 0.691 0.075 0.396
17 H 0.703 0.056 0.651
18 H 0.712 0.301 0.185
19 H 0.804 0.681 0.172
20 H 0.881 0.482 0.169
21 H 0.884 0.699 0.410
22 Pt 0.500 0.500 0.000
23 C 0.175 0.291 0.102
24 C 0.189 0.074 0.898
25 C 0.811 0.709 0.884
26 C 0.825 0.926 0.116
27 N 0.199 0.410 0.798
28 N 0.389 0.590 0.790
29 N 0.611 0.401 0.202
30 N 0.801 0.599 0.210
31 O 0.102 0.295 0.183
32 O 0.111 0.919 0.817
33 O 0.235 0.443 0.167
34 O 0.275 0.000 0.275
35 O 0.276 0.069 0.833
36 O 0.355 0.855 0.500
37 O 0.645 0.145 0.500
38 O 0.724 0.557 0.792
39 O 0.725 0.000 0.725
40 O 0.765 0.931 0.208
41 O 0.889 0.705 0.807
42 O 0.898 0.081 0.193

Properties
SG: I222, No. 23
Magnetization, μB/cell: 0.99
E, eV/atom: -5.777

# 4
NaCoH2C3O7: optimized geometry, PBE with a Hubbard U.

a b c (Å): 5.954 15.667 7.263
angles (deg): 90.00 101.32 90.00
Positions (direct):
1 Na 0.015 0.180 0.194
2 Na 0.015 0.320 0.694
3 Na 0.985 0.680 0.306
4 Na 0.985 0.820 0.806
5 Co 0.208 0.100 0.792
6 Co 0.208 0.400 0.292
7 Co 0.792 0.600 0.708
8 Co 0.792 0.900 0.208
9 H 0.339 0.029 0.134
10 H 0.339 0.471 0.634
11 H 0.441 0.125 0.140
12 H 0.441 0.375 0.640
13 H 0.559 0.625 0.360
14 H 0.559 0.875 0.860
15 H 0.661 0.529 0.366
16 H 0.661 0.971 0.866
17 C 0.011 0.538 0.068
18 C 0.011 0.962 0.568
19 C 0.317 0.647 0.709
20 C 0.317 0.853 0.209
21 C 0.464 0.730 0.748
22 C 0.464 0.770 0.248
23 C 0.536 0.230 0.752
24 C 0.536 0.270 0.252
25 C 0.683 0.147 0.791
26 C 0.683 0.353 0.291
27 C 0.989 0.038 0.432
28 C 0.989 0.462 0.932
29 O 0.076 0.108 0.496
30 O 0.076 0.392 0.996
31 O 0.102 0.657 0.671
32 O 0.102 0.843 0.171
33 O 0.113 0.525 0.237
34 O 0.113 0.975 0.737
35 O 0.305 0.088 0.088
36 O 0.305 0.412 0.588
37 O 0.328 0.223 0.769
38 O 0.328 0.277 0.269
39 O 0.371 0.704 0.294
40 O 0.371 0.796 0.794
41 O 0.428 0.577 0.718
42 O 0.428 0.923 0.218
43 O 0.572 0.077 0.782
44 O 0.572 0.423 0.282
45 O 0.629 0.204 0.206
46 O 0.629 0.296 0.706
47 O 0.672 0.723 0.731
48 O 0.672 0.777 0.231
49 O 0.695 0.588 0.412
50 O 0.695 0.912 0.912
51 O 0.887 0.025 0.263
52 O 0.887 0.475 0.763
53 O 0.898 0.157 0.829
54 O 0.898 0.343 0.329
55 O 0.924 0.608 0.004
56 O 0.924 0.892 0.504

Properties
SG: P2_1/c, No. 14
Magnetization, μB/cell: 11.72
E, eV/atom: -6.646

# 5
Na2CoH8C2O10: optimized geometry, PBE with a Hubbard U.

a b c (Å): 5.637 5.637 14.424
angles (deg): 95.84 95.84 79.37
Positions (direct):
1 Na 0.094 0.744 0.560
2 Na 0.256 0.906 0.940
3 Na 0.744 0.094 0.060
4 Na 0.906 0.256 0.440
5 Co 0.462 0.538 0.750
6 Co 0.538 0.462 0.250
7 H 0.031 0.712 0.367
8 H 0.147 0.755 0.126
9 H 0.245 0.853 0.374
10 H 0.256 0.369 0.061
11 H 0.288 0.969 0.133
12 H 0.290 0.391 0.954
13 H 0.369 0.256 0.561
14 H 0.391 0.290 0.454
15 H 0.609 0.710 0.546
16 H 0.631 0.744 0.439
17 H 0.710 0.609 0.046
18 H 0.712 0.031 0.867
19 H 0.744 0.631 0.939
20 H 0.755 0.147 0.626
21 H 0.853 0.245 0.874
22 H 0.969 0.288 0.633
23 C 0.023 0.531 0.787
24 C 0.469 0.977 0.713
25 C 0.531 0.023 0.287
26 C 0.977 0.469 0.213
27 O 0.053 0.545 0.701
28 O 0.093 0.851 0.403
29 O 0.149 0.907 0.097
30 O 0.181 0.493 0.184
31 O 0.214 0.537 0.847
32 O 0.286 0.338 0.507
33 O 0.338 0.286 0.007
34 O 0.455 0.947 0.799
35 O 0.463 0.786 0.653
36 O 0.493 0.181 0.684
37 O 0.507 0.819 0.316
38 O 0.537 0.214 0.347
39 O 0.545 0.053 0.201
40 O 0.662 0.714 0.993
41 O 0.714 0.662 0.493
42 O 0.786 0.463 0.153
43 O 0.819 0.507 0.816
44 O 0.851 0.093 0.903
45 O 0.907 0.149 0.597
46 O 0.947 0.455 0.299

Properties
SG: C2/c, No. 15
Magnetization, μB/cell: 5.98
E, eV/atom: -5.751

# 6
NaCoPH10CO10: optimized geometry, PBE with a Hubbard U.

a b c (Å): 8.278 11.926 9.926
angles (deg): 90.00 106.67 90.00
Positions (direct):
1 Na 0.006 0.131 0.042
2 Na 0.006 0.369 0.542
3 Na 0.994 0.631 0.458
4 Na 0.994 0.869 0.958
5 Co 0.419 0.146 0.308
6 Co 0.419 0.354 0.808
7 Co 0.581 0.646 0.192
8 Co 0.581 0.854 0.692
9 P 0.493 0.112 0.655
10 P 0.493 0.388 0.155
11 P 0.507 0.612 0.845
12 P 0.507 0.888 0.345
13 H 0.030 0.039 0.762
14 H 0.030 0.461 0.262
15 H 0.038 0.137 0.508
16 H 0.038 0.363 0.008
17 H 0.099 0.210 0.330
18 H 0.099 0.290 0.830
19 H 0.136 0.655 0.111
20 H 0.136 0.845 0.611
21 H 0.160 0.541 0.736
22 H 0.160 0.959 0.236
23 H 0.172 0.204 0.736
24 H 0.172 0.296 0.236
25 H 0.330 0.613 0.397
26 H 0.330 0.887 0.897
27 H 0.336 0.049 0.036
28 H 0.336 0.451 0.536
29 H 0.367 0.637 0.561
30 H 0.367 0.863 0.061
31 H 0.373 0.186 0.036
32 H 0.373 0.314 0.536
33 H 0.627 0.686 0.464
34 H 0.627 0.814 0.964
35 H 0.633 0.137 0.939
36 H 0.633 0.363 0.439
37 H 0.664 0.549 0.464
38 H 0.664 0.951 0.964
39 H 0.670 0.113 0.103
40 H 0.670 0.387 0.603
41 H 0.828 0.704 0.764
42 H 0.828 0.796 0.264
43 H 0.840 0.041 0.764
44 H 0.840 0.459 0.264
45 H 0.864 0.155 0.389
46 H 0.864 0.345 0.889
47 H 0.901 0.710 0.170
48 H 0.901 0.790 0.670
49 H 0.962 0.637 0.992
50 H 0.962 0.863 0.492
51 H 0.970 0.539 0.738
52 H 0.970 0.961 0.238
53 C 0.309 0.023 0.661
54 C 0.309 0.477 0.161
55 C 0.691 0.523 0.839
56 C 0.691 0.977 0.339
57 O 0.025 0.690 0.065
58 O 0.025 0.810 0.565
59 O 0.042 0.538 0.674
60 O 0.042 0.962 0.174
61 O 0.167 0.216 0.262
62 O 0.167 0.284 0.762
63 O 0.169 0.070 0.657
64 O 0.169 0.430 0.157
65 O 0.295 0.593 0.480
66 O 0.295 0.907 0.980
67 O 0.331 0.122 0.082
68 O 0.331 0.378 0.582
69 O 0.333 0.582 0.178
70 O 0.333 0.918 0.678
71 O 0.364 0.527 0.828
72 O 0.364 0.973 0.328
73 O 0.448 0.179 0.517
74 O 0.448 0.321 0.017
75 O 0.482 0.693 0.718
76 O 0.482 0.807 0.218
77 O 0.518 0.193 0.782
78 O 0.518 0.307 0.282
79 O 0.552 0.679 0.983
80 O 0.552 0.821 0.483
81 O 0.636 0.027 0.672
82 O 0.636 0.473 0.172
83 O 0.667 0.082 0.322
84 O 0.667 0.418 0.822
85 O 0.669 0.622 0.418
86 O 0.669 0.878 0.918
87 O 0.705 0.093 0.020
88 O 0.705 0.407 0.520
89 O 0.831 0.570 0.843
90 O 0.831 0.930 0.343
91 O 0.833 0.716 0.238
92 O 0.833 0.784 0.738
93 O 0.958 0.038 0.826
94 O 0.958 0.462 0.326
95 O 0.975 0.190 0.435
96 O 0.975 0.310 0.935

Properties
SG: P2_1/c, No. 14
Magnetization, μB/cell: 12.03
E, eV/atom: -5.615

The highest magnetization belongs to which entry?
NaCoPH10CO10